First-principles (PBEsol) data for crystalline Ba3SrY2Sb2O12 at its relaxed geometry, as listed in the Alexandria database.

## Properties
- spin magnetization (Bohr magnetons per cell) = 0.0
- E (eV for the cell shown) = -148.61
- raw formation energy (eV/f.u.) = -54.57
- Fermi-level density of states (states/eV/atom) = 0.00

Structure (CIF):
```
data_Ba3SrY2Sb2O12
_chemical_formula_sum 'Ba3 Sr1 Y2 Sb2 O12'
_symmetry_space_group_name_H-M 'P 1'
_symmetry_Int_Tables_number 1
_symmetry_space_group_name_Hall 'P 1'
_cell_length_a 5.924
_cell_length_b 5.935
_cell_length_c 10.220
_cell_angle_alpha 73.25
_cell_angle_beta 73.21
_cell_angle_gamma 60.02
loop_
_atom_site_label
_atom_site_type_symbol
_atom_site_fract_x
_atom_site_fract_y
_atom_site_fract_z
_atom_site_occupancy
O1 O 0.100 0.605 0.132 1
O2 O 0.669 0.607 0.623 1
O3 O 0.888 0.395 0.869 1
O4 O 0.612 0.103 0.626 1
O5 O 0.612 0.163 0.139 1
O6 O 0.110 0.658 0.633 1
O7 O 0.892 0.313 0.366 1
O8 O 0.836 0.895 0.872 1
O9 O 0.390 0.845 0.864 1
O10 O 0.304 0.422 0.374 1
O11 O 0.175 0.097 0.128 1
O12 O 0.416 0.897 0.371 1
Ba1 Ba 0.374 0.375 0.875 1
Ba2 Ba 0.626 0.625 0.125 1
Ba3 Ba 0.125 0.125 0.624 1
Y1 Y 0.999 0.000 0.002 1
Y2 Y 0.500 0.500 0.498 1
Sb1 Sb 0.751 0.750 0.748 1
Sb2 Sb 0.249 0.250 0.252 1
Sr1 Sr 0.870 0.875 0.379 1
```